[1]
Computed, not measured: InAu3 at its PBEsol-relaxed geometry at the meta-GGA SCAN level of DFT.

Computed properties:
Total DFT energy (no corrections): -60.33 eV/atom
Symmetry: Pmm2

Structure (POSCAR):
```
InAu3
1.0
3.2875 0.0000 0.0000
0.0000 4.5752 0.0000
0.0000 0.0000 4.7866
In Au
1 3
direct
0.0000 0.0000 0.0000 In
0.0000 0.5000 0.6298 Au
0.5000 0.0000 0.4943 Au
0.5000 0.5000 0.1297 Au
```


[2]
Computed, not measured: In3Au5 at its PBEsol-relaxed geometry at the meta-GGA SCAN level of DFT.

Computed properties:
Total DFT energy (no corrections): -55.85 eV/atom
Symmetry: Cmmm

Structure (POSCAR):
```
In3Au5
1.0
3.9409 -4.3043 0.0000
3.9409 4.3043 0.0000
0.0000 0.0000 4.3870
In Au
3 5
direct
0.0000 0.0000 0.0000 In
0.2755 0.7245 0.5000 In
0.7245 0.2755 0.5000 In
0.0000 0.5000 0.0000 Au
0.2295 0.2295 0.5000 Au
0.5000 0.0000 0.0000 Au
0.5000 0.5000 0.0000 Au
0.7705 0.7705 0.5000 Au
```


[3]
Computed, not measured: InAu3 at its PBEsol-relaxed geometry at the meta-GGA SCAN level of DFT.

Computed properties:
Total DFT energy (no corrections): -60.33 eV/atom
Symmetry: Imm2

Structure (POSCAR):
```
InAu3
1.0
-1.6700 4.5612 2.3717
1.6700 -4.5612 2.3717
1.6700 4.5612 -2.3717
In Au
1 3
direct
0.0000 0.0000 0.0000 In
0.1293 0.3733 0.7560 Au
0.5185 0.0185 0.5000 Au
0.6173 0.3733 0.2440 Au
```


[4]
Computed, not measured: In3Au2 at its PBEsol-relaxed geometry at the meta-GGA SCAN level of DFT.

Computed properties:
Total DFT energy (no corrections): -47.88 eV/atom
Symmetry: R-3m

Structure (POSCAR):
```
In3Au2
1.0
1.7417 1.0056 10.3653
-1.7417 1.0056 10.3653
0.0000 -2.0111 10.3653
In Au
3 2
direct
0.0000 0.0000 0.0000 In
0.2060 0.2060 0.2060 In
0.7940 0.7940 0.7940 In
0.3974 0.3974 0.3974 Au
0.6026 0.6026 0.6026 Au
```


[5]
Computed, not measured: InAu3 at its PBEsol-relaxed geometry at the meta-GGA SCAN level of DFT.

Computed properties:
Total DFT energy (no corrections): -60.34 eV/atom
Symmetry: Pmmm

Structure (POSCAR):
```
InAu3
1.0
3.5976 0.0000 0.0000
0.0000 3.6102 0.0000
0.0000 0.0000 5.6193
In Au
1 3
direct
0.0000 0.0000 0.0000 In
0.0000 0.0000 0.5000 Au
0.5000 0.5000 0.2528 Au
0.5000 0.5000 0.7472 Au
```


[6]
Computed, not measured: InAu2 at its PBEsol-relaxed geometry at the meta-GGA SCAN level of DFT.

Computed properties:
Total DFT energy (no corrections): -57.30 eV/atom
Symmetry: Cmcm

Structure (POSCAR):
```
InAu2
1.0
1.5899 -7.0060 0.0000
1.5899 7.0060 0.0000
0.0000 0.0000 5.1248
In Au
2 4
direct
0.2081 0.7919 0.7500 In
0.7919 0.2081 0.2500 In
0.1233 0.8767 0.2500 Au
0.4582 0.5418 0.2500 Au
0.5418 0.4582 0.7500 Au
0.8767 0.1233 0.7500 Au
```


[7]
Computed, not measured: InAu2 at its PBEsol-relaxed geometry at the meta-GGA SCAN level of DFT.

Computed properties:
Total DFT energy (no corrections): -57.36 eV/atom
Symmetry: P6_3/mmc

Structure (POSCAR):
```
InAu2
1.0
4.7363 0.0000 0.0000
-2.3681 4.1017 0.0000
0.0000 0.0000 5.6980
In Au
2 4
direct
0.3333 0.6667 0.2500 In
0.6667 0.3333 0.7500 In
0.0000 0.0000 0.0000 Au
0.0000 0.0000 0.5000 Au
0.3333 0.6667 0.7500 Au
0.6667 0.3333 0.2500 Au
```


[8]
Computed, not measured: InAu2 at its PBEsol-relaxed geometry at the meta-GGA SCAN level of DFT.

Computed properties:
Total DFT energy (no corrections): -57.42 eV/atom
Symmetry: I4/mcm

Structure (POSCAR):
```
InAu2
1.0
-2.7397 2.7397 4.0509
2.7397 -2.7397 4.0509
2.7397 2.7397 -4.0509
In Au
2 4
direct
0.2500 0.2500 0.0000 In
0.7500 0.7500 0.0000 In
0.1773 0.6773 0.8545 Au
0.3227 0.1773 0.5000 Au
0.6773 0.8227 0.5000 Au
0.8227 0.3227 0.1455 Au
```